Run P
NaGa9Ir2: relaxed, GGA-PBE.

Computed properties:
calculated volume: 18.70 A^3/atom

```
data_NaGa9Ir2
_space_group_name_H-M_alt 'P 1'
_space_group_IT_number 1
_space_group_name_Hall 'P 1'
_cell_length_a 3.776
_cell_length_b 8.284
_cell_length_c 8.284
_cell_angle_alpha 120.00
_cell_angle_beta 90.00
_cell_angle_gamma 90.00
loop_
_atom_site_label
_atom_site_type_symbol
_atom_site_fract_x
_atom_site_fract_y
_atom_site_fract_z
Ga1 Ga 0.500 0.394 0.197
Ga2 Ga 0.500 0.197 0.394
Ga3 Ga 0.500 0.803 0.197
Ga4 Ga 0.500 0.197 0.803
Ga5 Ga 0.000 0.500 0.500
Ga6 Ga 0.000 0.500 0.000
Ga7 Ga 0.500 0.803 0.606
Ga8 Ga 0.500 0.606 0.803
Ga9 Ga 0.000 0.000 0.500
Ir1 Ir 0.000 0.333 0.667
Ir2 Ir 0.000 0.667 0.333
Na1 Na 0.000 0.000 0.000
```

***

Run Q
NaGa9Ir2: relaxed, GGA-PBE.

Computed properties:
calculated volume: 17.44 A^3/atom

```
data_NaGa9Ir2
_space_group_name_H-M_alt 'P 1'
_space_group_IT_number 1
_space_group_name_Hall 'P 1'
_cell_length_a 6.731
_cell_length_b 8.575
_cell_length_c 8.575
_cell_angle_alpha 81.14
_cell_angle_beta 66.89
_cell_angle_gamma 66.89
loop_
_atom_site_label
_atom_site_type_symbol
_atom_site_fract_x
_atom_site_fract_y
_atom_site_fract_z
Ir1 Ir 0.875 0.750 0.250
Ir2 Ir 0.375 0.750 0.750
Ir3 Ir 0.875 0.250 0.250
Ir4 Ir 0.875 0.250 0.750
Na1 Na 0.500 0.000 0.000
Na2 Na 0.250 0.500 0.500
Ga1 Ga 0.987 0.689 0.929
Ga2 Ga 0.763 0.811 0.571
Ga3 Ga 0.750 0.500 0.500
Ga4 Ga 0.987 0.929 0.689
Ga5 Ga 0.666 0.189 0.571
Ga6 Ga 0.426 0.811 0.429
Ga7 Ga 0.084 0.929 0.311
Ga8 Ga 0.324 0.689 0.071
Ga9 Ga 0.144 0.429 0.189
Ga10 Ga 0.084 0.311 0.929
Ga11 Ga 0.000 0.000 0.000
Ga12 Ga 0.426 0.429 0.811
Ga13 Ga 0.763 0.571 0.811
Ga14 Ga 0.606 0.071 0.311
Ga15 Ga 0.144 0.189 0.429
Ga16 Ga 0.606 0.311 0.071
Ga17 Ga 0.324 0.071 0.689
Ga18 Ga 0.666 0.571 0.189
```

***

So which one is most stable? That would be run P, about 90 meV/atom below the next structure.

***

Run P
NbGa2Ir2: relaxed, GGA-PBE.

Computed properties:
calculated volume: 15.37 A^3/atom

```
data_NbGa2Ir2
_space_group_name_H-M_alt 'P 1'
_space_group_IT_number 1
_space_group_name_Hall 'P 1'
_cell_length_a 7.363
_cell_length_b 7.363
_cell_length_c 2.835
_cell_angle_alpha 90.00
_cell_angle_beta 90.00
_cell_angle_gamma 90.00
loop_
_atom_site_label
_atom_site_type_symbol
_atom_site_fract_x
_atom_site_fract_y
_atom_site_fract_z
Nb1 Nb 0.000 0.000 0.000
Nb2 Nb 0.500 0.500 0.000
Ga1 Ga 0.628 0.128 0.000
Ga2 Ga 0.128 0.372 0.000
Ga3 Ga 0.872 0.628 0.000
Ga4 Ga 0.372 0.872 0.000
Ir1 Ir 0.671 0.829 0.500
Ir2 Ir 0.171 0.671 0.500
Ir3 Ir 0.329 0.171 0.500
Ir4 Ir 0.829 0.329 0.500
```

***

Run Q
NbGa2Ir2: relaxed, GGA-PBE.

Computed properties:
calculated volume: 15.68 A^3/atom

```
data_NbGa2Ir2
_space_group_name_H-M_alt 'P 1'
_space_group_IT_number 1
_space_group_name_Hall 'P 1'
_cell_length_a 7.346
_cell_length_b 7.346
_cell_length_c 2.906
_cell_angle_alpha 90.00
_cell_angle_beta 90.00
_cell_angle_gamma 90.00
loop_
_atom_site_label
_atom_site_type_symbol
_atom_site_fract_x
_atom_site_fract_y
_atom_site_fract_z
Ir1 Ir 0.863 0.637 0.000
Ir2 Ir 0.137 0.363 0.000
Ir3 Ir 0.637 0.137 0.000
Ir4 Ir 0.363 0.863 0.000
Nb1 Nb 0.500 0.500 0.000
Nb2 Nb 0.000 0.000 0.000
Ga1 Ga 0.662 0.838 0.500
Ga2 Ga 0.338 0.162 0.500
Ga3 Ga 0.162 0.662 0.500
Ga4 Ga 0.838 0.338 0.500
```

***

Run R
NbGa2Ir2: relaxed, GGA-PBE.

Computed properties:
calculated volume: 16.10 A^3/atom

```
data_NbGa2Ir2
_space_group_name_H-M_alt 'P 1'
_space_group_IT_number 1
_space_group_name_Hall 'P 1'
_cell_length_a 2.937
_cell_length_b 2.873
_cell_length_c 9.649
_cell_angle_alpha 81.44
_cell_angle_beta 90.00
_cell_angle_gamma 90.00
loop_
_atom_site_label
_atom_site_type_symbol
_atom_site_fract_x
_atom_site_fract_y
_atom_site_fract_z
Ga1 Ga 0.000 0.813 0.375
Ga2 Ga 0.000 0.187 0.625
Ir1 Ir 0.500 0.399 0.202
Ir2 Ir 0.500 0.601 0.798
Nb1 Nb 0.000 0.000 0.000
```

***

So which one is most stable? That would be run R, about 58 meV/atom below the next structure.

***

Run P
NbGaIrOs: relaxed, GGA-PBE.

Computed properties:
calculated volume: 15.41 A^3/atom

```
data_NbGaIrOs
_space_group_name_H-M_alt 'P 1'
_space_group_IT_number 1
_space_group_name_Hall 'P 1'
_cell_length_a 4.134
_cell_length_b 4.134
_cell_length_c 4.643
_cell_angle_alpha 116.44
_cell_angle_beta 116.43
_cell_angle_gamma 90.00
loop_
_atom_site_label
_atom_site_type_symbol
_atom_site_fract_x
_atom_site_fract_y
_atom_site_fract_z
Nb1 Nb 0.250 0.750 0.500
Ga1 Ga 0.750 0.250 0.500
Os1 Os 0.500 0.500 0.000
Ir1 Ir 0.000 0.000 0.000
```

***

Run Q
NbGaIrOs: relaxed, GGA-PBE.

Computed properties:
calculated volume: 15.49 A^3/atom

```
data_NbGaIrOs
_space_group_name_H-M_alt 'P 1'
_space_group_IT_number 1
_space_group_name_Hall 'P 1'
_cell_length_a 4.442
_cell_length_b 4.442
_cell_length_c 4.442
_cell_angle_alpha 60.00
_cell_angle_beta 60.00
_cell_angle_gamma 60.00
loop_
_atom_site_label
_atom_site_type_symbol
_atom_site_fract_x
_atom_site_fract_y
_atom_site_fract_z
Ga1 Ga 0.500 0.500 0.500
Nb1 Nb 0.000 0.000 0.000
Os1 Os 0.750 0.750 0.750
Ir1 Ir 0.250 0.250 0.250
```

***

So which one is most stable? That would be run P, about 113 meV/atom below the next structure.

***

Run P
Nd3GaIr: relaxed, GGA-PBE.

Computed properties:
calculated volume: 29.29 A^3/atom

```
data_Nd3GaIr
_space_group_name_H-M_alt 'P 1'
_space_group_IT_number 1
_space_group_name_Hall 'P 1'
_cell_length_a 7.370
_cell_length_b 7.512
_cell_length_c 8.073
_cell_angle_alpha 58.00
_cell_angle_beta 61.11
_cell_angle_gamma 52.78
loop_
_atom_site_label
_atom_site_type_symbol
_atom_site_fract_x
_atom_site_fract_y
_atom_site_fract_z
Nd1 Nd 0.394 0.152 0.743
Nd2 Nd 0.906 0.233 0.232
Nd3 Nd 0.273 0.655 0.186
Nd4 Nd 0.606 0.848 0.257
Nd5 Nd 0.727 0.345 0.814
Nd6 Nd 0.094 0.767 0.768
Ga1 Ga 0.872 0.737 0.546
Ga2 Ga 0.128 0.263 0.454
Ir1 Ir 0.702 0.676 0.935
Ir2 Ir 0.298 0.324 0.065
```

***

Run Q
Nd3GaIr: relaxed, GGA-PBE.

Computed properties:
calculated volume: 26.51 A^3/atom

```
data_Nd3GaIr
_space_group_name_H-M_alt 'P 1'
_space_group_IT_number 1
_space_group_name_Hall 'P 1'
_cell_length_a 5.952
_cell_length_b 5.952
_cell_length_c 9.282
_cell_angle_alpha 66.33
_cell_angle_beta 66.33
_cell_angle_gamma 66.87
loop_
_atom_site_label
_atom_site_type_symbol
_atom_site_fract_x
_atom_site_fract_y
_atom_site_fract_z
Ir1 Ir 0.263 0.737 0.000
Ir2 Ir 0.737 0.263 0.000
Nd1 Nd 0.948 0.948 0.276
Nd2 Nd 0.700 0.700 0.692
Nd3 Nd 0.695 0.695 0.116
Nd4 Nd 0.052 0.052 0.724
Nd5 Nd 0.300 0.300 0.308
Nd6 Nd 0.305 0.305 0.884
Ga1 Ga 0.308 0.692 0.500
Ga2 Ga 0.692 0.308 0.500
```

***

So which one is most stable? That would be run Q, about 46 meV/atom below the next structure.